(1)
A plane-wave DFT calculation with GGA-PBE was carried out for a geometry-optimized TbGeNO structure.

Lattice parameters (Å, degrees): 4.026 4.026 7.262 90.00 90.00 90.00
Positions (direct):
Ge (0.750, 0.250, 0.500)
Ge (0.250, 0.750, 0.500)
N (0.750, 0.750, 0.378)
N (0.250, 0.250, 0.622)
O (0.750, 0.250, 0.000)
O (0.250, 0.750, 0.000)
Tb (0.250, 0.250, 0.143)
Tb (0.750, 0.750, 0.857)

Total magnetic moment ... 0.00 μB per atom
VASP energy ... -6.781 eV/atom
E above lowest polymorph ... 0.520 eV per atom

=====

(2)
A plane-wave DFT calculation with GGA-PBE was carried out for a geometry-optimized GdTmIn2Ni4 structure.

Lattice parameters (Å, degrees): 4.385 4.385 8.462 90.00 90.00 120.00
Positions (direct):
Gd (0.000, 0.000, 0.000)
In (0.667, 0.333, 0.255)
In (0.667, 0.333, 0.745)
Ni (0.333, 0.667, 0.170)
Ni (0.000, 0.000, 0.342)
Ni (0.000, 0.000, 0.658)
Ni (0.333, 0.667, 0.830)
Tm (0.333, 0.667, 0.500)

Total magnetic moment ... 0.00 μB per atom
VASP energy ... -5.019 eV/atom

=====

(3)
A plane-wave DFT calculation with GGA-PBE was carried out for a geometry-optimized Pr2ScAs3 structure.

Lattice parameters (Å, degrees): 4.168 4.168 10.148 90.00 90.00 120.00
Positions (direct):
As (0.000, 0.000, 0.000)
As (0.333, 0.667, 0.356)
As (0.667, 0.333, 0.644)
Pr (0.667, 0.333, 0.178)
Pr (0.333, 0.667, 0.822)
Sc (0.000, 0.000, 0.500)

Total magnetic moment ... 0.00 μB per atom
VASP energy ... -6.397 eV/atom

=====

(4)
A plane-wave DFT calculation with GGA-PBE was carried out for a geometry-optimized YIrPt2 structure.

Lattice parameters (Å, degrees): 4.649 4.649 4.649 60.00 60.00 60.00
Positions (direct):
Ir (0.500, 0.500, 0.500)
Pt (0.000, 0.000, 0.000)
Pt (0.250, 0.250, 0.250)
Y (0.750, 0.750, 0.750)

Total magnetic moment ... 0.00 μB per atom
VASP energy ... -7.224 eV/atom

=====

(5)
A plane-wave DFT calculation with GGA-PBE was carried out for a geometry-optimized DyAgSnS3 structure.

Lattice parameters (Å, degrees): 8.858 8.858 8.330 103.64 103.64 25.51
Positions (direct):
Ag (0.474, 0.474, 0.285)
Ag (0.526, 0.526, 0.715)
Dy (0.835, 0.835, 0.411)
Dy (0.165, 0.165, 0.589)
S (0.500, 0.500, 0.000)
S (0.317, 0.317, 0.175)
S (0.672, 0.672, 0.358)
S (0.000, 0.000, 0.500)
S (0.328, 0.328, 0.642)
S (0.683, 0.683, 0.825)
Sn (0.133, 0.133, 0.075)
Sn (0.867, 0.867, 0.925)

Total magnetic moment ... 0.00 μB per atom
VASP energy ... -4.948 eV/atom
E above lowest polymorph ... 0.018 eV per atom

=====

(6)
A plane-wave DFT calculation with GGA-PBE was carried out for a geometry-optimized Gd3DyHo2Te2Ir structure.

Lattice parameters (Å, degrees): 3.999 8.366 8.366 120.03 90.00 90.00
Positions (direct):
Dy (0.500, 0.240, 0.240)
Gd (0.000, 0.400, 0.000)
Gd (0.000, 0.000, 0.400)
Gd (0.000, 0.601, 0.601)
Ho (0.500, 0.760, 0.000)
Ho (0.500, 0.000, 0.760)
Ir (0.000, 0.999, 0.999)
Te (0.500, 0.667, 0.333)
Te (0.500, 0.333, 0.667)

Total magnetic moment ... 0.00 μB per atom
VASP energy ... -5.636 eV/atom

=====

(7)
A plane-wave DFT calculation with GGA-PBE was carried out for a geometry-optimized PuInGe structure.

Lattice parameters (Å, degrees): 4.796 4.796 4.796 60.00 60.00 60.00
Positions (direct):
Ge (0.000, 0.000, 0.000)
In (0.250, 0.250, 0.250)
Pu (0.750, 0.750, 0.750)

Total magnetic moment ... 2.02 μB per atom
VASP energy ... -7.347 eV/atom
E above lowest polymorph ... 0.000 eV per atom

=====

(8)
A plane-wave DFT calculation with GGA-PBE was carried out for a geometry-optimized ZrMoH4 structure.

Lattice parameters (Å, degrees): 3.231 3.231 4.595 90.12 90.12 90.00
Positions (direct):
H (0.999, 0.501, 0.278)
H (0.501, 0.999, 0.278)
H (0.499, 0.001, 0.722)
H (0.001, 0.499, 0.722)
Mo (0.500, 0.500, 0.500)
Zr (0.000, 0.000, 0.000)

Total magnetic moment ... 0.00 μB per atom
VASP energy ... -5.747 eV/atom

=====

(9)
A plane-wave DFT calculation with GGA-PBE was carried out for a geometry-optimized AcLuBe structure.

Lattice parameters (Å, degrees): 4.985 4.985 4.985 60.00 60.00 60.00
Positions (direct):
Ac (0.500, 0.500, 0.500)
Be (0.250, 0.250, 0.250)
Lu (0.000, 0.000, 0.000)

Total magnetic moment ... 0.00 μB per atom
VASP energy ... -3.756 eV/atom
E above lowest polymorph ... 0.000 eV per atom

=====

(10)
A plane-wave DFT calculation with GGA-PBE was carried out for a geometry-optimized NaPbAuO3 structure.

Lattice parameters (Å, degrees): 10.474 3.298 10.668 90.00 90.00 90.00
Positions (direct):
Au (0.583, 0.500, 0.040)
Au (0.083, 0.000, 0.460)
Au (0.917, 0.500, 0.540)
Au (0.417, 0.000, 0.960)
Na (0.357, 0.500, 0.246)
Na (0.857, 0.000, 0.254)
Na (0.143, 0.500, 0.746)
Na (0.643, 0.000, 0.754)
O (0.703, 0.000, 0.095)
O (0.939, 0.500, 0.098)
O (0.214, 0.000, 0.147)
O (0.714, 0.500, 0.353)
O (0.439, 0.000, 0.402)
O (0.203, 0.500, 0.405)
O (0.797, 0.000, 0.595)
O (0.561, 0.500, 0.598)
O (0.286, 0.000, 0.647)
O (0.786, 0.500, 0.853)
O (0.061, 0.000, 0.902)
O (0.297, 0.500, 0.905)
Pb (0.138, 0.500, 0.039)
Pb (0.638, 0.000, 0.461)
Pb (0.362, 0.500, 0.539)
Pb (0.862, 0.000, 0.961)

VASP energy ... -4.650 eV/atom

=====

(11)
A plane-wave DFT calculation with GGA-PBE was carried out for a geometry-optimized LuAgPt structure.

Lattice parameters (Å, degrees): 4.599 4.599 4.599 60.00 60.00 60.00
Positions (direct):
Ag (0.250, 0.250, 0.250)
Lu (0.000, 0.000, 0.000)
Pt (0.750, 0.750, 0.750)

Total magnetic moment ... 0.00 μB per atom
VASP energy ... -4.865 eV/atom
E above lowest polymorph ... 0.287 eV per atom

=====

(12)
A plane-wave DFT calculation with GGA-PBE was carried out for a geometry-optimized IrAu structure.

Lattice parameters (Å, degrees): 4.133 4.133 4.133 60.00 60.00 60.00
Last column: magnetic moment on the atom in μB.
Positions (direct):
Au (0.000, 0.000, 0.000)  0.29
Ir (0.250, 0.250, 0.250)  1.19

Total magnetic moment ... 0.75 μB per atom
VASP energy ... -4.316 eV/atom
E above lowest polymorph ... 1.310 eV per atom